The following is a PBE-GGA calculation of ZrSc2B2Ir5 after structural relaxation, from the Alexandria database.

Cell lengths 3.2169, 9.5237, 9.5237 Å; angles 90.00, 90.00, 90.00 degrees
Fractional positions:
Zr (0.0000, 0.5000, 0.5000)
B (0.0000, 0.6203, 0.8797)
Sc (0.0000, 0.8249, 0.6751)
B (0.0000, 0.1203, 0.6203)
Ir (0.5000, 0.5000, 0.0000)
B (0.0000, 0.3797, 0.1203)
Ir (0.5000, 0.2234, 0.0716)
Ir (0.5000, 0.7234, 0.4284)
Ir (0.5000, 0.0716, 0.7766)
Ir (0.5000, 0.9284, 0.2234)
Sc (0.0000, 0.3249, 0.8249)
Zr (0.0000, 0.0000, 0.0000)
Sc (0.0000, 0.6751, 0.1751)
Ir (0.5000, 0.5716, 0.7234)
B (0.0000, 0.8797, 0.3797)
Ir (0.5000, 0.0000, 0.5000)
Ir (0.5000, 0.7766, 0.9284)
Ir (0.5000, 0.2766, 0.5716)
Sc (0.0000, 0.1751, 0.3249)
Ir (0.5000, 0.4284, 0.2766)

Summary:
Total magnetic moment = 0.0 μB per cell
SG = P4/mbm, No. 127
ΔH_f (0 K) = -0.834 eV/atom
Calculated density = 13.247 g/cm3
Total energy = -174.43 eV for the cell shown